[1]
## PrTm3Sb2 (PBE)

Data for PrTm3Sb2 after structural relaxation.

Lattice parameters (Å, degrees): 4.318 10.586 9.657 124.78 90.00 101.77
Positions (direct):
Pr: 0.889 0.777 0.900
Pr: 0.111 0.223 0.100
Tm: 0.311 0.623 0.511
Tm: 0.942 0.885 0.559
Tm: 0.641 0.282 0.805
Tm: 0.359 0.718 0.195
Tm: 0.058 0.115 0.441
Tm: 0.689 0.377 0.489
Sb: 0.487 0.974 0.818
Sb: 0.513 0.026 0.182
Sb: 0.755 0.510 0.221
Sb: 0.245 0.490 0.779

## Properties
**Formation energy without anion corrections**: -0.6669 eV/atom
**Crystal system**: monoclinic
**Raw total energy**: -60.880 eV/cell
**DOS at the Fermi energy**: 11.119 states/eV per cell

[2]
## ScHgTe2 (PBE)

Data for ScHgTe2 after structural relaxation.

Lattice parameters (Å, degrees): 4.182 7.541 8.705 109.82 90.00 90.00
Positions (direct):
Sc: 0.094 0.204 0.728
Sc: 0.471 0.704 0.728
Hg: 0.282 0.954 0.228
Hg: 0.283 0.454 0.228
Te: 0.973 0.959 0.920
Te: 0.973 0.448 0.536
Te: 0.592 0.459 0.920
Te: 0.592 0.948 0.536

## Properties
**Formation energy without anion corrections**: -0.7025 eV/atom
**Crystal system**: monoclinic
**Raw total energy**: -31.453 eV/cell
**DOS at the Fermi energy**: 1.927 states/eV per cell

[3]
## NiOs (PBE)

Data for NiOs after structural relaxation.

Lattice parameters (Å, degrees): 2.674 8.512 2.674 99.04 60.00 99.04
Positions (direct):
Ni: 0.998 0.994 0.998
Ni: 0.252 0.756 0.252
Os: 0.502 0.506 0.502
Os: 0.748 0.244 0.748

## Properties
**Crystal system**: trigonal
**Raw total energy**: -33.413 eV/cell
**Energy of formation from the pure elements**: 0.305 eV/f.u.
**DOS at the Fermi energy**: 4.591 states/eV per cell